[1]
Material: La2InAsAu
Method: DFT, PBE
State: optimized geometry

Computed properties:
The calculation puts the formation energy at -0.2999 eV/atom.

Geometry as CIF:
```
data_La2InAsAu
_cell_length_a 5.715
_cell_length_b 5.715
_cell_length_c 5.069
_cell_angle_alpha 90.00
_cell_angle_beta 90.00
_cell_angle_gamma 90.00
_symmetry_space_group_name_H-M 'P 4/m m m'
_symmetry_Int_Tables_number 123
_symmetry_space_group_name_Hall '-P 4 2'
loop_
_atom_site_label
_atom_site_fract_x
_atom_site_fract_y
_atom_site_fract_z
La1 0.000 0.500 0.000
In1 0.000 0.000 0.500
As1 0.000 0.000 0.000
Au1 0.500 0.500 0.500
```


[2]
Material: Fe2HgMo
Method: DFT, PBE
State: optimized geometry

Computed properties:
The calculation puts the formation energy at 0.4536 eV/atom.

Geometry as CIF:
```
data_Fe2HgMo
_cell_length_a 2.945
_cell_length_b 4.463
_cell_length_c 9.038
_cell_angle_alpha 90.00
_cell_angle_beta 90.00
_cell_angle_gamma 90.00
_symmetry_space_group_name_H-M 'I m m 2'
_symmetry_Int_Tables_number 44
loop_
_symmetry_equiv_pos_as_xyz
'x,y,z'
'-x,-y,z'
'-x,y,z'
'x,-y,z'
'x+1/2,y+1/2,z+1/2'
'-x+1/2,-y+1/2,z+1/2'
'-x+1/2,y+1/2,z+1/2'
'x+1/2,-y+1/2,z+1/2'
loop_
_atom_site_label
_atom_site_fract_x
_atom_site_fract_y
_atom_site_fract_z
Fe1 0.000 0.000 0.000
Fe2 0.000 0.500 0.288
Hg1 0.000 0.000 0.529
Mo1 0.000 0.500 0.747
```


[3]
Material: CdPbBr4
Method: DFT, PBE
State: optimized geometry

Computed properties:
For the uncorrected formation energy, the calculation gives 0.2038 eV/atom. For the offset from the most stable computed form, the calculation gives 1.077 eV/atom.

Geometry as CIF:
```
data_CdPbBr4
_cell_length_a 9.108
_cell_length_b 9.108
_cell_length_c 9.108
_cell_angle_alpha 90.00
_cell_angle_beta 90.00
_cell_angle_gamma 90.00
_symmetry_space_group_name_H-M 'F -4 3 m'
_symmetry_Int_Tables_number 216
_symmetry_space_group_name_Hall 'F -4 2 3'
loop_
_atom_site_label
_atom_site_fract_x
_atom_site_fract_y
_atom_site_fract_z
Cd1 0.000 0.000 0.000
Pb1 0.250 0.250 0.750
Br1 0.125 0.125 0.375
```


Number 1: N(E_F) 5.878 states/eV/cell. Number 2: N(E_F) 5.759 states/eV/cell. Number 3: N(E_F) 16.921 states/eV/cell.